# AgTe2

AgTe2 after structural relaxation (PBE-GGA, Alexandria via LeMat-Bulk).

The structure in CIF format:
```
data_AgTe2
_chemical_formula_sum 'Ag2 Te4'
_cell_length_a 5.739
_cell_length_b 7.201
_cell_length_c 4.336
_cell_angle_alpha 90.00
_cell_angle_beta 90.00
_cell_angle_gamma 90.00
_space_group_name_H-M_alt 'P n n m'
_space_group_IT_number 58
_space_group_name_Hall '-P 2 2n'
loop_
_atom_site_label
_atom_site_fract_x
_atom_site_fract_y
_atom_site_fract_z
Ag1 0.000 0.000 0.000
Te1 0.189 0.383 0.000
```

Output
Formation energy (no corrections)   -0.2 kcal/mol of atoms

---

# TcHg2Sb

TcHg2Sb after structural relaxation (PBE-GGA, Alexandria via LeMat-Bulk).

The structure in CIF format:
```
data_TcHg2Sb
_chemical_formula_sum 'Tc1 Hg2 Sb1'
_cell_length_a 3.267
_cell_length_b 4.673
_cell_length_c 5.514
_cell_angle_alpha 90.00
_cell_angle_beta 90.00
_cell_angle_gamma 90.00
_space_group_name_H-M_alt 'P m m m'
_space_group_IT_number 47
_space_group_name_Hall '-P 2 2'
loop_
_atom_site_label
_atom_site_fract_x
_atom_site_fract_y
_atom_site_fract_z
Tc1 0.000 0.000 0.000
Hg1 0.000 0.500 0.500
Hg2 0.500 0.000 0.500
Sb1 0.500 0.500 0.000
```

Output
Formation energy (no corrections)   13.5 kcal/mol of atoms

---

# PaHgBi2O6

PaHgBi2O6 after structural relaxation (PBE-GGA, Alexandria via LeMat-Bulk).

The structure in CIF format:
```
data_PaHgBi2O6
_chemical_formula_sum 'Pa2 Hg2 Bi4 O12'
_cell_length_a 6.133
_cell_length_b 5.342
_cell_length_c 12.286
_cell_angle_alpha 90.00
_cell_angle_beta 119.87
_cell_angle_gamma 90.00
_space_group_name_H-M_alt 'P 1 21/c 1'
_space_group_IT_number 14
_space_group_name_Hall '-P 2ybc'
loop_
_atom_site_label
_atom_site_fract_x
_atom_site_fract_y
_atom_site_fract_z
Pa1 0.000 0.000 0.000
Hg1 0.500 0.000 0.500
Bi1 0.273 0.064 0.773
O1 0.115 0.672 0.369
O2 0.124 0.692 0.122
O3 0.376 0.173 0.129
```

Output
Formation energy (no corrections)   -41.2 kcal/mol of atoms

---

# Cs3Pm2NpTe6

Cs3Pm2NpTe6 after structural relaxation (PBE-GGA, Alexandria via LeMat-Bulk).

The structure in CIF format:
```
data_Cs3Pm2NpTe6
_chemical_formula_sum 'Cs6 Pm4 Np2 Te12'
_cell_length_a 8.068
_cell_length_b 13.931
_cell_length_c 9.324
_cell_angle_alpha 90.00
_cell_angle_beta 106.63
_cell_angle_gamma 90.00
_space_group_name_H-M_alt 'C 1 2/m 1'
_space_group_IT_number 12
_space_group_name_Hall '-C 2y'
loop_
_atom_site_label
_atom_site_fract_x
_atom_site_fract_y
_atom_site_fract_z
Cs1 0.000 0.000 0.000
Cs2 0.000 0.332 0.000
Pm1 0.000 0.166 0.500
Np1 0.000 0.500 0.500
Te1 0.231 0.334 0.693
Te2 0.232 0.000 0.693
```

Output
Formation energy (no corrections)   -28.4 kcal/mol of atoms

---

# Rb2UCoSe4

Rb2UCoSe4 after structural relaxation (PBE-GGA, Alexandria via LeMat-Bulk).

The structure in CIF format:
```
data_Rb2UCoSe4
_chemical_formula_sum 'Rb16 U8 Co8 Se32'
_cell_length_a 6.090
_cell_length_b 14.784
_cell_length_c 25.906
_cell_angle_alpha 90.00
_cell_angle_beta 90.00
_cell_angle_gamma 90.00
_space_group_name_H-M_alt 'F d d d'
_space_group_IT_number 70
loop_
_space_group_symop_operation_xyz
'x,y,z'
'-x,-y,-z'
'-x+1/4,-y+1/4,z'
'x+1/4,y+1/4,-z'
'x,-y+1/4,-z+1/4'
'-x,y+1/4,z+1/4'
'-x+1/4,y,-z+1/4'
'x+1/4,-y,z+1/4'
'x,y+1/2,z+1/2'
'-x,-y+1/2,-z+1/2'
'-x+1/4,-y+3/4,z+1/2'
'x+1/4,y+3/4,-z+1/2'
'x,-y+3/4,-z+3/4'
'-x,y+3/4,z+3/4'
'-x+1/4,y+1/2,-z+3/4'
'x+1/4,-y+1/2,z+3/4'
'x+1/2,y,z+1/2'
'-x+1/2,-y,-z+1/2'
'-x+3/4,-y+1/4,z+1/2'
'x+3/4,y+1/4,-z+1/2'
'x+1/2,-y+1/4,-z+3/4'
'-x+1/2,y+1/4,z+3/4'
'-x+3/4,y,-z+3/4'
'x+3/4,-y,z+3/4'
'x+1/2,y+1/2,z'
'-x+1/2,-y+1/2,-z'
'-x+3/4,-y+3/4,z'
'x+3/4,y+3/4,-z'
'x+1/2,-y+3/4,-z+1/4'
'-x+1/2,y+3/4,z+1/4'
'-x+3/4,y+1/2,-z+1/4'
'x+3/4,-y+1/2,z+1/4'
loop_
_atom_site_label
_atom_site_fract_x
_atom_site_fract_y
_atom_site_fract_z
Rb1 0.125 0.125 0.305
U1 0.125 0.125 0.125
Co1 0.125 0.125 0.625
Se1 0.095 0.273 0.822
```

Output
Formation energy (no corrections)   -17.4 kcal/mol of atoms

---

# HfAlFe

HfAlFe after structural relaxation (PBE-GGA, Alexandria via LeMat-Bulk).

The structure in CIF format:
```
data_HfAlFe
_chemical_formula_sum 'Hf8 Al8 Fe8'
_cell_length_a 8.252
_cell_length_b 5.075
_cell_length_c 8.863
_cell_angle_alpha 90.00
_cell_angle_beta 90.00
_cell_angle_gamma 90.00
_space_group_name_H-M_alt 'A m m 2'
_space_group_IT_number 38
_space_group_name_Hall 'A 2 -2'
loop_
_atom_site_label
_atom_site_fract_x
_atom_site_fract_y
_atom_site_fract_z
Hf1 0.182 0.000 0.000
Hf2 0.294 0.000 0.670
Al1 0.000 0.000 0.497
Al2 0.500 0.000 0.167
Al3 0.500 0.248 0.416
Fe1 0.000 0.249 0.246
Fe2 0.246 0.000 0.329
```

Output
Energy of formation from the pure elements   -0.40 eV per atom

---

# Th2BeAlPd6

Th2BeAlPd6 after structural relaxation (PBE-GGA, Alexandria via LeMat-Bulk).

The structure in CIF format:
```
data_Th2BeAlPd6
_chemical_formula_sum 'Th2 Be1 Al1 Pd6'
_cell_length_a 5.718
_cell_length_b 5.849
_cell_length_c 7.132
_cell_angle_alpha 69.67
_cell_angle_beta 66.68
_cell_angle_gamma 60.89
_space_group_name_H-M_alt 'P -1'
_space_group_IT_number 2
_space_group_name_Hall '-P 1'
loop_
_atom_site_label
_atom_site_fract_x
_atom_site_fract_y
_atom_site_fract_z
Th1 0.218 0.257 0.304
Be1 0.000 0.000 0.000
Al1 0.500 0.500 0.500
Pd1 0.235 0.793 0.232
Pd2 0.250 0.657 0.848
Pd3 0.263 0.206 0.772
```

Output
Energy of formation from the pure elements   -0.71 eV per atom

---

# KTi2Cl7

KTi2Cl7 after structural relaxation (PBE-GGA, Alexandria via LeMat-Bulk).

The structure in CIF format:
```
data_KTi2Cl7
_chemical_formula_sum 'K2 Ti4 Cl14'
_cell_length_a 7.931
_cell_length_b 12.954
_cell_length_c 4.797
_cell_angle_alpha 90.00
_cell_angle_beta 90.00
_cell_angle_gamma 90.00
_space_group_name_H-M_alt 'C m m m'
_space_group_IT_number 65
_space_group_name_Hall '-C 2 2'
loop_
_atom_site_label
_atom_site_fract_x
_atom_site_fract_y
_atom_site_fract_z
K1 0.000 0.000 0.000
Ti1 0.000 0.303 0.500
Cl1 0.000 0.302 0.000
Cl2 0.000 0.500 0.500
Cl3 0.188 0.143 0.500
```

Output
Formation energy (no corrections)   -35.5 kcal/mol of atoms

---

# Ta2MoW

Ta2MoW after structural relaxation (PBE-GGA, Alexandria via LeMat-Bulk).

The structure in CIF format:
```
data_Ta2MoW
_chemical_formula_sum 'Ta2 Mo1 W1'
_cell_length_a 2.852
_cell_length_b 5.307
_cell_length_c 5.325
_cell_angle_alpha 116.09
_cell_angle_beta 100.39
_cell_angle_gamma 100.73
_space_group_name_H-M_alt 'P -1'
_space_group_IT_number 2
_space_group_name_Hall '-P 1'
loop_
_atom_site_label
_atom_site_fract_x
_atom_site_fract_y
_atom_site_fract_z
Ta1 0.000 0.000 0.000
Ta2 0.000 0.500 0.500
Mo1 0.500 0.000 0.500
W1 0.500 0.500 0.000
```

Output
Energy of formation from the pure elements   -0.08 eV per atom

---

# HfMnSb2

HfMnSb2 after structural relaxation (PBE-GGA, Alexandria via LeMat-Bulk).

The structure in CIF format:
```
data_HfMnSb2
_chemical_formula_sum 'Hf3 Mn3 Sb6'
_cell_length_a 3.3256
_cell_length_b 3.3256
_cell_length_c 29.7672
_cell_angle_alpha 90.00
_cell_angle_beta 90.00
_cell_angle_gamma 120.00
_space_group_name_H-M_alt 'R -3 m'
_space_group_IT_number 166
_space_group_name_Hall '-R 3 2"'
loop_
_atom_site_label
_atom_site_fract_x
_atom_site_fract_y
_atom_site_fract_z
Hf1 0.0000 0.0000 0.0000
Mn1 0.0000 0.0000 0.5000
Sb1 0.0000 0.0000 0.4101
```

Output
Formation energy (no corrections)   4.3 kcal/mol of atoms

---

# SrTcAs2

SrTcAs2 after structural relaxation (PBE-GGA, Alexandria via LeMat-Bulk).

The structure in CIF format:
```
data_SrTcAs2
_chemical_formula_sum 'Sr4 Tc4 As8'
_cell_length_a 6.758
_cell_length_b 6.758
_cell_length_c 6.758
_cell_angle_alpha 90.00
_cell_angle_beta 90.00
_cell_angle_gamma 90.00
_space_group_name_H-M_alt 'F m -3 m'
_space_group_IT_number 225
_space_group_name_Hall '-F 4 2 3'
loop_
_atom_site_label
_atom_site_fract_x
_atom_site_fract_y
_atom_site_fract_z
Sr1 0.000 0.000 0.000
Tc1 0.000 0.000 0.500
As1 0.250 0.250 0.250
```

Output
Energy of formation from the pure elements   -0.08 eV per atom

---

# KTa2Si

KTa2Si after structural relaxation (PBE-GGA, Alexandria via LeMat-Bulk).

The structure in CIF format:
```
data_KTa2Si
_chemical_formula_sum 'K2 Ta4 Si2'
_cell_length_a 6.119
_cell_length_b 10.309
_cell_length_c 2.758
_cell_angle_alpha 90.00
_cell_angle_beta 114.03
_cell_angle_gamma 90.00
_space_group_name_H-M_alt 'C 1 2/m 1'
_space_group_IT_number 12
_space_group_name_Hall '-C 2y'
loop_
_atom_site_label
_atom_site_fract_x
_atom_site_fract_y
_atom_site_fract_z
K1 0.000 0.000 0.000
Ta1 0.250 0.250 0.500
Si1 0.000 0.500 0.000
```

Output
Formation energy (no corrections)   24.5 kcal/mol of atoms